# Nd4RuSe2Cl (PBE, optimized geometry)
# total magnetization = 0.00 Bohr magnetons per cell
# electronic total energy = -5.941 eV per atom
# raw formation energy = -10.36 eV/f.u.
data_Nd4RuSe2Cl
_space_group_name_H-M_alt 'P 1 2/m 1'
_space_group_IT_number 10
_cell_length_a 7.354
_cell_length_b 4.101
_cell_length_c 7.425
_cell_angle_alpha 90.00
_cell_angle_beta 107.53
_cell_angle_gamma 90.00
loop_
_space_group_symop_operation_xyz
'x,y,z'
'-x,-y,-z'
'-x,y,-z'
'x,-y,z'
loop_
_atom_site_label
_atom_site_type_symbol
_atom_site_fract_x
_atom_site_fract_y
_atom_site_fract_z
Nd1 Nd 0.227 0.000 0.231
Nd2 Nd 0.229 0.500 0.756
Ru1 Ru 0.000 0.500 0.000
Se1 Se 0.000 0.000 0.500
Se2 Se 0.500 0.500 0.500
Cl1 Cl 0.500 0.000 0.000

---

# SiPIrO2 (PBE, optimized geometry)
# distance to the lowest polymorph of the same formula = 0.00 kJ/mol of atoms
# total magnetization = 0.00 Bohr magnetons per cell
# electronic total energy = -6.694 eV per atom
# raw formation energy = -3.86 eV/f.u.
data_SiPIrO2
_space_group_name_H-M_alt 'P 4/m m m'
_space_group_IT_number 123
_space_group_name_Hall '-P 4 2'
_cell_length_a 3.313
_cell_length_b 3.313
_cell_length_c 7.705
_cell_angle_alpha 90.00
_cell_angle_beta 90.00
_cell_angle_gamma 90.00
loop_
_atom_site_label
_atom_site_type_symbol
_atom_site_fract_x
_atom_site_fract_y
_atom_site_fract_z
Si1 Si 0.000 0.000 0.000
P1 P 0.000 0.000 0.500
Ir1 Ir 0.500 0.500 0.500
O1 O 0.000 0.500 0.000

---

# Sc2MnCl (PBE, optimized geometry)
# distance to the lowest polymorph of the same formula = 60.03 kJ/mol of atoms
# total magnetization = 5.16 Bohr magnetons per cell
# electronic total energy = -5.890 eV per atom
# raw formation energy = 0.12 eV/f.u.
data_Sc2MnCl
_space_group_name_H-M_alt 'F m -3 m'
_space_group_IT_number 225
_space_group_name_Hall '-F 4 2 3'
_cell_length_a 6.712
_cell_length_b 6.712
_cell_length_c 6.712
_cell_angle_alpha 90.00
_cell_angle_beta 90.00
_cell_angle_gamma 90.00
loop_
_atom_site_label
_atom_site_type_symbol
_atom_site_fract_x
_atom_site_fract_y
_atom_site_fract_z
Sc1 Sc 0.250 0.250 0.250
Mn1 Mn 0.000 0.000 0.000
Cl1 Cl 0.000 0.000 0.500

---

# Y2RuPt (PBE, optimized geometry)
# energy relative to the elements = -704 meV per atom
# total magnetization = 0.00 Bohr magnetons per cell
# electronic total energy = -7.765 eV per atom
data_Y2RuPt
_space_group_name_H-M_alt 'A m m 2'
_space_group_IT_number 38
_cell_length_a 4.367
_cell_length_b 3.763
_cell_length_c 10.651
_cell_angle_alpha 90.00
_cell_angle_beta 90.00
_cell_angle_gamma 90.00
loop_
_space_group_symop_operation_xyz
'x,y,z'
'-x,-y,z'
'-x,y,z'
'x,-y,z'
'x,y+1/2,z+1/2'
'-x,-y+1/2,z+1/2'
'-x,y+1/2,z+1/2'
'x,-y+1/2,z+1/2'
loop_
_atom_site_label
_atom_site_type_symbol
_atom_site_fract_x
_atom_site_fract_y
_atom_site_fract_z
Y1 Y 0.000 0.000 0.000
Y2 Y 0.500 0.000 0.289
Ru1 Ru 0.000 0.000 0.728
Pt1 Pt 0.500 0.000 0.565

---

# NaIn2P (PBE, optimized geometry)
# energy relative to the elements = -143 meV per atom
# total magnetization = 0.00 Bohr magnetons per cell
# electronic total energy = -3.194 eV per atom
data_NaIn2P
_space_group_name_H-M_alt 'I -4 2 d'
_space_group_IT_number 122
_space_group_name_Hall 'I -4 2bw'
_cell_length_a 8.570
_cell_length_b 8.570
_cell_length_c 5.559
_cell_angle_alpha 90.00
_cell_angle_beta 90.00
_cell_angle_gamma 90.00
loop_
_atom_site_label
_atom_site_type_symbol
_atom_site_fract_x
_atom_site_fract_y
_atom_site_fract_z
Na1 Na 0.000 0.000 0.000
In1 In 0.178 0.250 0.625
P1 P 0.000 0.000 0.500

---

# BeAg2Pt (PBE, optimized geometry)
# energy relative to the elements = 251 meV per atom
# total magnetization = 0.00 Bohr magnetons per cell
# electronic total energy = -3.616 eV per atom
data_BeAg2Pt
_space_group_name_H-M_alt 'I -4 2 d'
_space_group_IT_number 122
_space_group_name_Hall 'I -4 2bw'
_cell_length_a 3.677
_cell_length_b 3.677
_cell_length_c 19.346
_cell_angle_alpha 90.00
_cell_angle_beta 90.00
_cell_angle_gamma 90.00
loop_
_atom_site_label
_atom_site_type_symbol
_atom_site_fract_x
_atom_site_fract_y
_atom_site_fract_z
Be1 Be 0.000 0.000 0.000
Ag1 Ag 0.247 0.250 0.125
Pt1 Pt 0.000 0.000 0.500

---

# Li4CaIn4 (PBE, optimized geometry)
# energy relative to the elements = -231 meV per atom
# distance to the lowest polymorph of the same formula = 0.00 kJ/mol of atoms
# total magnetization = 0.00 Bohr magnetons per cell
# electronic total energy = -2.521 eV per atom
data_Li4CaIn4
_space_group_name_H-M_alt 'I 4/m m m'
_space_group_IT_number 139
_space_group_name_Hall '-I 4 2'
_cell_length_a 9.613
_cell_length_b 9.613
_cell_length_c 4.405
_cell_angle_alpha 90.00
_cell_angle_beta 90.00
_cell_angle_gamma 90.00
loop_
_atom_site_label
_atom_site_type_symbol
_atom_site_fract_x
_atom_site_fract_y
_atom_site_fract_z
Li1 Li 0.185 0.185 0.000
Ca1 Ca 0.000 0.000 0.500
In1 In 0.000 0.331 0.500

---

# Sm3PtSeCl (PBE, optimized geometry)
# total magnetization = 0.00 Bohr magnetons per cell
# electronic total energy = -5.557 eV per atom
# raw formation energy = -7.81 eV/f.u.
data_Sm3PtSeCl
_space_group_name_H-M_alt 'P 1 21/m 1'
_space_group_IT_number 11
_cell_length_a 8.343
_cell_length_b 4.141
_cell_length_c 9.402
_cell_angle_alpha 90.00
_cell_angle_beta 102.25
_cell_angle_gamma 90.00
loop_
_space_group_symop_operation_xyz
'x,y,z'
'-x,-y,-z'
'-x,y+1/2,-z'
'x,-y+1/2,z'
loop_
_atom_site_label
_atom_site_type_symbol
_atom_site_fract_x
_atom_site_fract_y
_atom_site_fract_z
Sm1 Sm 0.070 0.250 0.336
Sm2 Sm 0.221 0.250 0.985
Sm3 Sm 0.393 0.750 0.609
Pt1 Pt 0.165 0.250 0.652
Se1 Se 0.317 0.750 0.262
Cl1 Cl 0.407 0.750 0.901